Record 1
Crystalline KHgSeN2 at its relaxed geometry. Source: Alexandria via LeMat-Bulk, functional PBE-GGA.

Cell lengths 4.595, 4.595, 5.518 Å; angles 90.00, 90.00, 90.00 degrees
Space group P4/mmm (No. 123)
Unique sites:
K  0.000  0.000  0.000
Hg  0.500  0.500  0.500
Se  0.500  0.500  0.000
N  0.000  0.500  0.500

Results
formation energy from raw total energies = 1.360 eV/atom
distance to the lowest polymorph of the same formula = 0.000 eV/atom
N(E_F) = 3.22 states/eV/f.u.

Record 2
Crystalline KHgSeN2 at its relaxed geometry. Source: Alexandria via LeMat-Bulk, functional PBE-GGA.

Cell lengths 4.989, 4.989, 6.481 Å; angles 90.00, 90.00, 90.00 degrees
Space group P4/mmm (No. 123)
Unique sites:
K  0.000  0.000  0.000
Hg  0.500  0.500  0.500
Se  0.000  0.000  0.500
N  0.000  0.500  0.000

Results
formation energy from raw total energies = 1.946 eV/atom
distance to the lowest polymorph of the same formula = 0.586 eV/atom
N(E_F) = 3.25 states/eV/f.u.

Record 3
Crystalline KSnHg2N at its relaxed geometry. Source: Alexandria via LeMat-Bulk, functional PBE-GGA.

Cell lengths 6.667, 6.667, 6.833 Å; angles 90.00, 90.00, 90.00 degrees
Space group P4/mmm (No. 123)
Unique sites:
K  0.000  0.000  0.000
Sn  0.000  0.000  0.500
Hg  0.000  0.500  0.000
N  0.500  0.500  0.500

Results
formation energy from raw total energies = 1.636 eV/atom
N(E_F) = 14.21 states/eV/f.u.

Record 4
Crystalline KHgTeN2 at its relaxed geometry. Source: Alexandria via LeMat-Bulk, functional PBE-GGA.

Cell lengths 4.805, 4.805, 5.844 Å; angles 90.00, 90.00, 90.00 degrees
Space group P4/mmm (No. 123)
Unique sites:
K  0.000  0.000  0.000
Hg  0.500  0.500  0.500
Te  0.500  0.500  0.000
N  0.000  0.500  0.500

Results
formation energy from raw total energies = 1.434 eV/atom
distance to the lowest polymorph of the same formula = 0.000 eV/atom
N(E_F) = 2.98 states/eV/f.u.

Record 5
Crystalline KHgTe2N at its relaxed geometry. Source: Alexandria via LeMat-Bulk, functional PBE-GGA.

Cell lengths 6.732, 6.732, 5.330 Å; angles 90.00, 90.00, 90.00 degrees
Space group P4/mmm (No. 123)
Unique sites:
K  0.000  0.000  0.000
Hg  0.500  0.500  0.500
Te  0.000  0.500  0.000
N  0.000  0.000  0.500

Results
formation energy from raw total energies = 1.315 eV/atom
distance to the lowest polymorph of the same formula = 0.665 eV/atom
N(E_F) = 4.69 states/eV/f.u.

Record 6
Crystalline KHgTe2N at its relaxed geometry. Source: Alexandria via LeMat-Bulk, functional PBE-GGA.

Cell lengths 6.242, 6.242, 4.026 Å; angles 90.00, 90.00, 90.00 degrees
Space group P4/mmm (No. 123)
Unique sites:
K  0.000  0.000  0.000
Hg  0.500  0.500  0.500
Te  0.000  0.500  0.500
N  0.500  0.500  0.000

Results
formation energy from raw total energies = 0.650 eV/atom
distance to the lowest polymorph of the same formula = 0.000 eV/atom
N(E_F) = 3.98 states/eV/f.u.

Record 7
Crystalline KHgTeN2 at its relaxed geometry. Source: Alexandria via LeMat-Bulk, functional PBE-GGA.

Cell lengths 4.974, 4.974, 7.049 Å; angles 90.00, 90.00, 90.00 degrees
Space group P4/mmm (No. 123)
Unique sites:
K  0.000  0.000  0.000
Hg  0.500  0.500  0.500
Te  0.000  0.000  0.500
N  0.000  0.500  0.000

Results
formation energy from raw total energies = 1.874 eV/atom
distance to the lowest polymorph of the same formula = 0.439 eV/atom
N(E_F) = 3.98 states/eV/f.u.

Record 8
Crystalline KTlHg2N at its relaxed geometry. Source: Alexandria via LeMat-Bulk, functional PBE-GGA.

Cell lengths 5.848, 5.848, 7.093 Å; angles 90.00, 90.00, 90.00 degrees
Space group P4/mmm (No. 123)
Unique sites:
K  0.000  0.000  0.000
Tl  0.000  0.000  0.500
Hg  0.000  0.500  0.500
N  0.500  0.500  0.000

Results
formation energy from raw total energies = 0.981 eV/atom
N(E_F) = 4.14 states/eV/f.u.

Record 9
Crystalline KHgWN2 at its relaxed geometry. Source: Alexandria via LeMat-Bulk, functional PBE-GGA.

Cell lengths 4.260, 4.260, 5.404 Å; angles 90.00, 90.00, 90.00 degrees
Space group P4/mmm (No. 123)
Unique sites:
K  0.000  0.000  0.000
Hg  0.500  0.500  0.500
W  0.000  0.000  0.500
N  0.000  0.500  0.000

Results
formation energy from raw total energies = 3.591 eV/atom
N(E_F) = 8.70 states/eV/f.u.

Record 10
Crystalline KYHg2N at its relaxed geometry. Source: Alexandria via LeMat-Bulk, functional PBE-GGA.

Cell lengths 5.679, 5.679, 4.328 Å; angles 90.00, 90.00, 90.00 degrees
Space group P4/mmm (No. 123)
Unique sites:
K  0.000  0.000  0.000
Y  0.500  0.500  0.500
Hg  0.000  0.500  0.000
N  0.000  0.000  0.500

Results
formation energy from raw total energies = 1.041 eV/atom
N(E_F) = 2.11 states/eV/f.u.

Record 11
Crystalline K2Na6Hg3 at its relaxed geometry. Source: Alexandria via LeMat-Bulk, functional PBE-GGA.

Cell lengths 9.4634, 9.4634, 5.2519 Å; angles 90.00, 90.00, 120.00 degrees
Space group P-62m (No. 189)
Unique sites:
K  0.3333  0.6667  0.0000
Na  0.0000  0.2798  0.5000
Na  0.0000  0.7881  0.0000
Hg  0.0000  0.6107  0.5000

Results
ΔH_f (0 K) = -0.11 eV/atom
N(E_F) = 4.49 states/eV/f.u.

Record 12
Crystalline KNaHg2 at its relaxed geometry. Source: Alexandria via LeMat-Bulk, functional PBE-GGA.

Cell lengths 5.300, 8.743, 6.752 Å; angles 90.00, 111.47, 90.00 degrees
Space group P2_1/m (No. 11)
Unique sites:
K  0.049  0.250  0.128
Na  0.347  0.250  0.704
Hg  0.229  0.578  0.454

Results
distance to the lowest polymorph of the same formula = 0.050 eV/atom
ΔH_f (0 K) = -0.19 eV/atom
N(E_F) = 1.52 states/eV/f.u.

Record 13
Crystalline K2Na6Hg at its relaxed geometry. Source: Alexandria via LeMat-Bulk, functional PBE-GGA.

Cell lengths 10.6367, 10.6367, 3.8751 Å; angles 90.00, 90.00, 120.00 degrees
Space group P-31m (No. 162)
Unique sites:
K  0.3333  0.6667  0.0000
Na  0.0000  0.2907  0.7371
Hg  0.0000  0.0000  0.5000

Results
distance to the lowest polymorph of the same formula = 0.021 eV/atom
ΔH_f (0 K) = 0.00 eV/atom
N(E_F) = 4.85 states/eV/f.u.

Record 14
Crystalline KNaHg at its relaxed geometry. Source: Alexandria via LeMat-Bulk, functional PBE-GGA.

Cell lengths 5.4407, 5.4407, 4.5475 Å; angles 90.00, 90.00, 120.00 degrees
Space group P-6m2 (No. 187)
Unique sites:
K  0.0000  0.0000  0.0000
Na  0.3333  0.6667  0.5000
Hg  0.6667  0.3333  0.5000

Results
distance to the lowest polymorph of the same formula = 0.050 eV/atom
ΔH_f (0 K) = -0.14 eV/atom
N(E_F) = 1.43 states/eV/f.u.

Record 15
Crystalline KNa3Hg4 at its relaxed geometry. Source: Alexandria via LeMat-Bulk, functional PBE-GGA.

Cell lengths 10.519, 7.738, 5.752 Å; angles 90.00, 90.00, 90.00 degrees
Space group Pmma (No. 51)
Unique sites:
K  0.000  0.000  0.000
Na  0.000  0.500  0.000
Na  0.250  0.000  0.459
Na  0.250  0.500  0.359
Hg  0.000  0.284  0.500
Hg  0.250  0.295  0.847

Results
distance to the lowest polymorph of the same formula = 0.000 eV/atom
ΔH_f (0 K) = -0.24 eV/atom
N(E_F) = 2.72 states/eV/f.u.

Record 16
Crystalline K3NaHg4 at its relaxed geometry. Source: Alexandria via LeMat-Bulk, functional PBE-GGA.

Cell lengths 13.730, 6.848, 6.432 Å; angles 90.00, 101.18, 90.00 degrees
Space group C2 (No. 5)
Unique sites:
K  0.000  0.000  0.000
K  0.180  0.252  0.626
Na  0.000  0.681  0.500
Hg  0.105  0.497  0.121
Hg  0.205  0.751  0.823

Results
ΔH_f (0 K) = -0.22 eV/atom
N(E_F) = 4.23 states/eV/f.u.

Record 17
Crystalline KNa4Hg15 at its relaxed geometry. Source: Alexandria via LeMat-Bulk, functional PBE-GGA.

Cell lengths 4.777, 4.777, 23.737 Å; angles 90.00, 90.00, 90.00 degrees
Space group P4/mmm (No. 123)
Unique sites:
K  0.000  0.000  0.000
Na  0.000  0.000  0.209
Na  0.000  0.000  0.403
Hg  0.000  0.500  0.110
Hg  0.000  0.500  0.305
Hg  0.000  0.500  0.500
Hg  0.500  0.500  0.000
Hg  0.500  0.500  0.208
Hg  0.500  0.500  0.403

Results
ΔH_f (0 K) = -0.18 eV/atom
N(E_F) = 9.72 states/eV/f.u.

Record 18
Crystalline KNa5Hg6 at its relaxed geometry. Source: Alexandria via LeMat-Bulk, functional PBE-GGA.

Cell lengths 5.483, 7.502, 8.453 Å; angles 90.00, 103.83, 90.00 degrees
Space group P2/m (No. 10)
Unique sites:
K  0.000  0.000  0.000
Na  0.000  0.500  0.000
Na  0.360  0.000  0.667
Na  0.374  0.500  0.675
Hg  0.136  0.271  0.352
Hg  0.500  0.276  0.000

Results
ΔH_f (0 K) = -0.23 eV/atom
N(E_F) = 4.96 states/eV/f.u.

Record 19
Crystalline K4Na3Hg at its relaxed geometry. Source: Alexandria via LeMat-Bulk, functional PBE-GGA.

Cell lengths 4.447, 4.447, 19.689 Å; angles 90.00, 90.00, 90.00 degrees
Space group P4/mmm (No. 123)
Unique sites:
K  0.000  0.000  0.102
K  0.000  0.000  0.366
Na  0.500  0.500  0.232
Na  0.500  0.500  0.500
Hg  0.500  0.500  0.000

Results
ΔH_f (0 K) = -0.04 eV/atom
N(E_F) = 4.85 states/eV/f.u.

Record 20
Crystalline KNaHg at its relaxed geometry. Source: Alexandria via LeMat-Bulk, functional PBE-GGA.

Cell lengths 7.961, 7.961, 7.961 Å; angles 90.00, 90.00, 90.00 degrees
Space group F-43m (No. 216)
Unique sites:
K  0.000  0.000  0.000
Na  0.000  0.000  0.500
Hg  0.250  0.250  0.250

Results
distance to the lowest polymorph of the same formula = 0.070 eV/atom
ΔH_f (0 K) = -0.12 eV/atom
N(E_F) = 1.36 states/eV/f.u.

Record 21
Crystalline K12NaHg7 at its relaxed geometry. Source: Alexandria via LeMat-Bulk, functional PBE-GGA.

Cell lengths 18.0165, 18.0165, 10.4508 Å; angles 90.00, 90.00, 120.00 degrees
Space group R-3 (No. 148, hexagonal axes)
Unique sites:
K  0.0259  0.5916  0.3262
K  0.0412  0.8681  0.2834
Na  0.0000  0.0000  0.0000
Hg  0.0000  0.0000  0.5000
Hg  0.0480  0.8593  0.9477

Results
distance to the lowest polymorph of the same formula = 0.000 eV/atom
ΔH_f (0 K) = -0.16 eV/atom
N(E_F) = 12.76 states/eV/f.u.

Record 22
Crystalline K6Na23Hg at its relaxed geometry. Source: Alexandria via LeMat-Bulk, functional PBE-GGA.

Cell lengths 17.301, 17.301, 17.301 Å; angles 90.00, 90.00, 90.00 degrees
Space group Fm-3m (No. 225)
Unique sites:
K  0.000  0.000  0.207
Na  0.000  0.000  0.500
Na  0.000  0.250  0.250
Na  0.120  0.120  0.380
Na  0.173  0.173  0.173
Hg  0.000  0.000  0.000

Results
ΔH_f (0 K) = 0.00 eV/atom
N(E_F) = 18.11 states/eV/f.u.

Record 23
Crystalline KNaHg4 at its relaxed geometry. Source: Alexandria via LeMat-Bulk, functional PBE-GGA.

Cell lengths 5.236, 7.281, 9.306 Å; angles 90.00, 90.00, 90.00 degrees
Space group Imm2 (No. 44)
Unique sites:
K  0.000  0.000  0.000
Na  0.000  0.500  0.939
Hg  0.000  0.216  0.642
Hg  0.000  0.266  0.314

Results
distance to the lowest polymorph of the same formula = 0.017 eV/atom
ΔH_f (0 K) = -0.24 eV/atom
N(E_F) = 2.28 states/eV/f.u.